1.
First-principles (PBE-GGA) data for NbCoBiPt after structural relaxation, as listed in OQMD via LeMat-Bulk.

Properties
distance to the lowest polymorph of the same formula	67.0	meV per atom
space group	No. 216
total magnetization	0.021	μB/f.u.
final energy	-26.33	eV per cell

Structure (POSCAR):
```
NbCoBiPt
1.0
0.000 3.283 3.283
3.283 0.000 3.283
3.283 3.283 0.000
Nb Co Bi Pt
1 1 1 1
direct
0.000 0.000 0.000
0.750 0.750 0.750
0.500 0.500 0.500
0.250 0.250 0.250
```

2.
First-principles (PBE-GGA) data for ReBr5 after structural relaxation, as listed in OQMD via LeMat-Bulk.

Properties
space group	No. 2
total magnetization	1.993	μB/f.u.
final energy	-44.25	eV per cell

Structure (POSCAR):
```
ReBr5
1.0
6.599 0.000 0.000
-3.161 6.397 0.000
-0.107 -3.622 8.937
Re Br
2 10
direct
0.101 0.209 0.213
0.899 0.791 0.787
0.071 0.814 0.570
0.117 0.622 0.854
0.243 0.185 0.956
0.302 0.003 0.242
0.438 0.571 0.336
0.562 0.429 0.664
0.698 0.997 0.758
0.757 0.815 0.044
0.883 0.378 0.146
0.929 0.186 0.430
```

3.
First-principles (PBE-GGA) data for TaGaRe after structural relaxation, as listed in OQMD via LeMat-Bulk.

Properties
space group	No. 216
total magnetization	0.062	μB/f.u.
final energy	-26.17	eV per cell

Structure (POSCAR):
```
TaGaRe
1.0
0.000 3.056 3.056
3.056 0.000 3.056
3.056 3.056 0.000
Ta Ga Re
1 1 1
direct
0.000 0.000 0.000
0.500 0.500 0.500
0.750 0.750 0.750
```

4.
First-principles (PBE-GGA) data for NdGd2Mg3Tl2Cd after structural relaxation, as listed in OQMD via LeMat-Bulk.

Properties
space group	No. 38
total magnetization	0.010	μB/f.u.
final energy	-27.42	eV per cell

Structure (POSCAR):
```
NdGd2Mg3Tl2Cd
1.0
4.685 0.000 0.000
0.000 6.641 3.799
0.000 -6.641 3.799
Nd Gd Mg Tl Cd
1 2 3 2 1
direct
0.000 0.000 0.000
0.000 0.424 0.848
0.000 0.848 0.424
0.500 0.186 0.426
0.500 0.426 0.186
0.500 0.664 0.664
0.500 0.093 0.755
0.500 0.755 0.093
0.000 0.430 0.430
```

5.
First-principles (PBE-GGA) data for TePOsO after structural relaxation, as listed in OQMD via LeMat-Bulk.

Properties
distance to the lowest polymorph of the same formula	589.3	meV per atom
space group	No. 129
total magnetization	0.092	μB/f.u.
final energy	-46.45	eV per cell

Structure (POSCAR):
```
TePOsO
1.0
4.172 0.000 0.000
0.000 4.172 0.000
0.000 0.000 9.865
Te P Os O
2 2 2 2
direct
0.250 0.750 0.000
0.750 0.250 0.000
0.250 0.250 0.231
0.750 0.750 0.769
0.250 0.250 0.443
0.750 0.750 0.557
0.250 0.750 0.500
0.750 0.250 0.500
```

6.
First-principles (PBE-GGA) data for DyY2Mg3Tl2Zn after structural relaxation, as listed in OQMD via LeMat-Bulk.

Properties
space group	No. 38
total magnetization	0.002	μB/f.u.
final energy	-31.19	eV per cell

Structure (POSCAR):
```
DyY2Mg3Tl2Zn
1.0
4.548 0.000 0.000
0.000 6.502 3.755
0.000 -6.502 3.755
Dy Y Mg Tl Zn
1 2 3 2 1
direct
0.000 0.000 0.000
0.000 0.169 0.585
0.000 0.585 0.169
0.500 0.349 0.349
0.500 0.585 0.820
0.500 0.820 0.585
0.500 0.251 0.918
0.500 0.918 0.251
0.000 0.585 0.585
```

7.
First-principles (PBE-GGA) data for LuTlPbSe3 after structural relaxation, as listed in OQMD via LeMat-Bulk.

Properties
space group	No. 63
total magnetization	0.001	μB/f.u.
final energy	-53.48	eV per cell

Structure (POSCAR):
```
LuTlPbSe3
1.0
2.043 -8.197 0.000
2.043 8.197 0.000
0.000 0.000 11.541
Lu Tl Pb Se
2 2 2 6
direct
0.000 0.000 0.000
0.000 0.000 0.500
0.314 0.686 0.750
0.686 0.314 0.250
0.374 0.626 0.250
0.626 0.374 0.750
0.004 0.996 0.750
0.383 0.617 0.509
0.383 0.617 0.991
0.617 0.383 0.009
0.617 0.383 0.491
0.996 0.004 0.250
```

8.
First-principles (PBE-GGA) data for TbCu2Os2 after structural relaxation, as listed in OQMD via LeMat-Bulk.

Properties
space group	No. 139
total magnetization	0.012	μB/f.u.
final energy	-33.69	eV per cell

Structure (POSCAR):
```
TbCu2Os2
1.0
-1.863 1.863 5.861
1.863 -1.863 5.861
1.863 1.863 -5.861
Tb Cu Os
1 2 2
direct
0.000 0.000 0.000
0.400 0.400 0.000
0.600 0.600 0.000
0.250 0.750 0.500
0.750 0.250 0.500
```

9.
First-principles (PBE-GGA) data for Pd7Se4 after structural relaxation, as listed in OQMD via LeMat-Bulk.

Properties
space group	No. 18
final energy	-106.12	eV per cell

Structure (POSCAR):
```
Pd7Se4
1.0
6.940 0.000 0.000
0.000 10.238 0.000
0.000 0.000 5.434
Pd Se
14 8
direct
0.000 0.000 0.176
0.085 0.225 0.496
0.129 0.632 0.838
0.189 0.416 0.151
0.311 0.916 0.849
0.371 0.132 0.162
0.415 0.725 0.504
0.500 0.500 0.824
0.585 0.275 0.504
0.629 0.868 0.162
0.689 0.084 0.849
0.811 0.584 0.151
0.871 0.368 0.838
0.915 0.775 0.496
0.000 0.000 0.670
0.000 0.500 0.502
0.176 0.779 0.183
0.324 0.279 0.817
0.500 0.000 0.498
0.500 0.500 0.330
0.676 0.721 0.817
0.824 0.221 0.183
```

10.
First-principles (PBE-GGA) data for AlCdSi after structural relaxation, as listed in OQMD via LeMat-Bulk.

Properties
space group	No. 216
final energy	-9.26	eV per cell

Structure (POSCAR):
```
AlCdSi
1.0
0.000 3.137 3.137
3.137 0.000 3.137
3.137 3.137 0.000
Al Cd Si
1 1 1
direct
0.000 0.000 0.000
0.500 0.500 0.500
0.250 0.250 0.250
```

11.
First-principles (PBE-GGA) data for HfReAsO after structural relaxation, as listed in OQMD via LeMat-Bulk.

Properties
distance to the lowest polymorph of the same formula	1135.5	meV per atom
space group	No. 129
total magnetization	0.020	μB/f.u.
final energy	-64.16	eV per cell

Structure (POSCAR):
```
HfReAsO
1.0
4.160 0.000 0.000
0.000 4.160 0.000
0.000 0.000 6.666
Hf Re As O
2 2 2 2
direct
0.250 0.750 0.000
0.750 0.250 0.000
0.250 0.250 0.346
0.750 0.750 0.654
0.250 0.250 0.730
0.750 0.750 0.270
0.250 0.750 0.500
0.750 0.250 0.500
```

12.
First-principles (PBE-GGA) data for TaTl2O4 after structural relaxation, as listed in OQMD via LeMat-Bulk.

Properties
space group	No. 227
total magnetization	0.999	μB/f.u.
final energy	-95.00	eV per cell

Structure (POSCAR):
```
TaTl2O4
1.0
0.000 4.943 4.943
4.943 0.000 4.943
4.943 4.943 0.000
Ta Tl O
2 4 8
direct
0.125 0.125 0.125
0.875 0.875 0.875
0.000 0.500 0.500
0.500 0.000 0.500
0.500 0.500 0.000
0.500 0.500 0.500
0.203 0.766 0.766
0.234 0.234 0.234
0.234 0.234 0.797
0.234 0.797 0.234
0.766 0.203 0.766
0.766 0.766 0.203
0.766 0.766 0.766
0.797 0.234 0.234
```

13.
First-principles (PBE-GGA) data for LuSiIr after structural relaxation, as listed in OQMD via LeMat-Bulk.

Properties
space group	No. 62
total magnetization	0.002	μB/f.u.
final energy	-83.44	eV per cell

Structure (POSCAR):
```
LuSiIr
1.0
5.303 0.000 0.000
0.000 4.065 0.000
0.000 0.000 10.497
Lu Si Ir
4 4 4
direct
0.236 0.250 0.163
0.264 0.750 0.663
0.736 0.250 0.337
0.764 0.750 0.837
0.151 0.250 0.881
0.349 0.750 0.381
0.651 0.250 0.619
0.849 0.750 0.119
0.191 0.250 0.460
0.309 0.750 0.960
0.691 0.250 0.040
0.809 0.750 0.540
```